No. 1
A plane-wave DFT calculation with PBE-GGA was carried out for Pm2PrY6Er after structural relaxation.

Properties
Space group ... No. 15
E_tot ... -5.651 eV/atom
Formation enthalpy at 0 K ... 0.112 eV/atom
Crystal system ... monoclinic

POSCAR file:
```
Pm2PrY6Er
1.0
4.5689 -7.5471 0.0000
4.5689 7.5471 0.0000
-1.5106 0.0000 9.6447
Pm Pr Y Er
4 2 12 2
Direct
0.1960 0.2964 0.0457
0.2964 0.1960 0.5457
0.7036 0.8040 0.4543
0.8040 0.7036 0.9543
0.0199 0.9801 0.2500
0.9801 0.0199 0.7500
0.0167 0.5700 0.1851
0.1219 0.7435 0.5572
0.2565 0.8781 0.9428
0.2964 0.5086 0.3827
0.4300 0.9833 0.3149
0.4914 0.7036 0.1173
0.5086 0.2964 0.8827
0.5700 0.0167 0.6851
0.7036 0.4914 0.6173
0.7435 0.1219 0.0572
0.8781 0.2565 0.4428
0.9833 0.4300 0.8149
0.4078 0.5922 0.7500
0.5922 0.4078 0.2500
```

***

No. 2
A plane-wave DFT calculation with PBE-GGA was carried out for Pr3Ga2Ni7 after structural relaxation.

Properties
Space group ... No. 166
E_tot ... -5.470 eV/atom
Formation enthalpy at 0 K ... -0.399 eV/atom
Crystal system ... trigonal

POSCAR file:
```
Pr3Ga2Ni7
1.0
2.6350 1.5213 8.0750
-2.6350 1.5213 8.0750
0.0000 -3.0427 8.0750
Pr Ga Ni
3 2 7
Direct
0.0000 0.0000 0.0000
0.1418 0.1418 0.1418
0.8582 0.8582 0.8582
0.3304 0.3304 0.3304
0.6696 0.6696 0.6696
0.0907 0.5759 0.5759
0.4241 0.4241 0.9093
0.4241 0.9093 0.4241
0.5000 0.5000 0.5000
0.5759 0.0907 0.5759
0.5759 0.5759 0.0907
0.9093 0.4241 0.4241
```

***

No. 3
A plane-wave DFT calculation with PBE-GGA was carried out for La8Tc3Br4Cl after structural relaxation.

Properties
ΔE_f (raw) ... -81.68 kJ/mol of atoms
Space group ... No. 166
E_tot ... -5.788 eV/atom
Crystal system ... trigonal

POSCAR file:
```
La8Tc3Br4Cl
1.0
4.2494 2.4534 7.8132
-4.2494 2.4534 7.8132
0.0000 -4.9068 7.8132
La Tc Br Cl
8 3 4 1
Direct
0.2083 0.7436 0.7436
0.2367 0.2367 0.2367
0.2564 0.2564 0.7917
0.2564 0.7917 0.2564
0.7436 0.2083 0.7436
0.7436 0.7436 0.2083
0.7633 0.7633 0.7633
0.7917 0.2564 0.2564
0.0000 0.0000 0.5000
0.0000 0.5000 0.0000
0.5000 0.0000 0.0000
0.0000 0.0000 0.0000
0.0000 0.5000 0.5000
0.5000 0.0000 0.5000
0.5000 0.5000 0.0000
0.5000 0.5000 0.5000
```

***

No. 4
A plane-wave DFT calculation with PBE-GGA was carried out for CrNiIr2 after structural relaxation.

Properties
Space group ... No. 99
E_tot ... -8.159 eV/atom
Formation enthalpy at 0 K ... 0.123 eV/atom
Crystal system ... tetragonal

POSCAR file:
```
CrNiIr2
1.0
2.9447 0.0000 0.0000
0.0000 2.9447 0.0000
0.0000 0.0000 6.0561
Cr Ni Ir
1 1 2
Direct
0.0000 0.0000 0.0000
0.5000 0.5000 0.8077
0.0000 0.0000 0.5649
0.5000 0.5000 0.2503
```

***

No. 5
A plane-wave DFT calculation with PBE-GGA was carried out for ScSi2Os after structural relaxation.

Properties
ΔE_f (raw) ... -22.83 kJ/mol of atoms
Space group ... No. 44
E_tot ... -7.338 eV/atom
Crystal system ... orthorhombic

POSCAR file:
```
ScSi2Os
1.0
-1.5449 2.0971 4.7117
1.5449 -2.0971 4.7117
1.5449 2.0971 -4.7117
Sc Si Os
1 2 1
Direct
0.0000 0.0000 0.0000
0.2842 0.7842 0.5000
0.5193 0.5193 0.0000
0.7261 0.2261 0.5000
```

***

No. 6
A plane-wave DFT calculation with PBE-GGA was carried out for PmDy4HoS8 after structural relaxation.

Properties
ΔE_f (raw) ... -186.23 kJ/mol of atoms
Space group ... No. 160
E_tot ... -6.270 eV/atom
Crystal system ... trigonal

POSCAR file:
```
PmDy4HoS8
1.0
4.0408 2.3330 6.5901
-4.0408 2.3330 6.5901
0.0000 -4.6660 6.5901
Pm Dy Ho S
1 4 1 8
Direct
0.0000 0.0000 0.0000
0.1264 0.6243 0.6243
0.2496 0.2496 0.2496
0.6243 0.1264 0.6243
0.6243 0.6243 0.1264
0.6244 0.6244 0.6244
0.3818 0.3818 0.3818
0.3830 0.3830 0.8527
0.3830 0.8527 0.3830
0.4063 0.8637 0.8637
0.8527 0.3830 0.3830
0.8637 0.4063 0.8637
0.8637 0.8637 0.4063
0.8647 0.8647 0.8647
```

***

No. 7
A plane-wave DFT calculation with PBE-GGA was carried out for NaCoCuAs after structural relaxation.

Properties
Space group ... No. 129
E_tot ... -4.383 eV/atom
Formation enthalpy at 0 K ... -0.090 eV/atom
Crystal system ... tetragonal

POSCAR file:
```
NaCoCuAs
1.0
3.6505 0.0000 0.0000
0.0000 3.6505 0.0000
0.0000 0.0000 10.8793
Na Co Cu As
2 2 2 2
Direct
0.2500 0.2500 0.2237
0.7500 0.7500 0.7763
0.2500 0.7500 0.5000
0.7500 0.2500 0.5000
0.2500 0.7500 0.0000
0.7500 0.2500 0.0000
0.2500 0.2500 0.6291
0.7500 0.7500 0.3709
```

***

No. 8
A plane-wave DFT calculation with PBE-GGA was carried out for SrNdY2S4 after structural relaxation.

Properties
ΔE_f (raw) ... -194.73 kJ/mol of atoms
Space group ... No. 10
E_tot ... -6.504 eV/atom
Crystal system ... monoclinic

POSCAR file:
```
SrNdY2S4
1.0
6.9910 0.0000 0.0000
0.0000 4.0028 0.0000
-2.2841 0.0000 6.6258
Sr Nd Y S
1 1 2 4
Direct
0.0000 0.0000 0.0000
0.5000 0.5000 0.0000
0.0000 0.5000 0.5000
0.5000 0.0000 0.5000
0.2464 0.0000 0.7348
0.2580 0.5000 0.2676
0.7420 0.5000 0.7324
0.7536 0.0000 0.2652
```

***

No. 9
A plane-wave DFT calculation with PBE-GGA was carried out for Tl2BiRh2O6 after structural relaxation.

Properties
ΔE_f (raw) ... -76.11 kJ/mol of atoms
Space group ... No. 12
E_tot ... -5.613 eV/atom
Crystal system ... monoclinic

POSCAR file:
```
Tl2BiRh2O6
1.0
2.8215 -4.8900 0.0000
2.8215 4.8900 0.0000
-0.1539 0.0000 6.6598
Tl Bi Rh O
2 1 2 6
Direct
0.1672 0.8328 0.0000
0.8328 0.1672 0.0000
0.5000 0.5000 0.5000
0.1667 0.8333 0.5000
0.8333 0.1667 0.5000
0.1349 0.1349 0.3421
0.1434 0.5042 0.6580
0.4958 0.8566 0.3420
0.5042 0.1434 0.6580
0.8566 0.4958 0.3420
0.8651 0.8651 0.6579
```

***

No. 10
A plane-wave DFT calculation with PBE-GGA was carried out for NaNb4 after structural relaxation.

Properties
Space group ... No. 221
E_tot ... -6.207 eV/atom
Formation enthalpy at 0 K ... 2.113 eV/atom
Crystal system ... cubic

POSCAR file:
```
NaNb4
1.0
4.6718 0.0000 0.0000
0.0000 4.6718 0.0000
0.0000 0.0000 4.6718
Na Nb
1 4
Direct
0.0000 0.0000 0.0000
0.0000 0.0000 0.5000
0.0000 0.5000 0.0000
0.5000 0.0000 0.0000
0.5000 0.5000 0.5000
```

***

No. 11
A plane-wave DFT calculation with PBE-GGA was carried out for LaPrIr after structural relaxation.

Properties
Space group ... No. 156
E_tot ... -6.729 eV/atom
Formation enthalpy at 0 K ... -0.540 eV/atom
Distance to the lowest polymorph of the same formula ... 0.06 eV per formula unit
Crystal system ... trigonal

POSCAR file:
```
LaPrIr
1.0
4.2545 0.0000 0.0000
-2.1272 3.6845 0.0000
0.0000 0.0000 6.5720
La Pr Ir
1 1 1
Direct
0.0000 0.0000 0.0000
0.6667 0.3333 0.5479
0.3333 0.6667 0.7779
```

***

No. 12
A plane-wave DFT calculation with PBE-GGA was carried out for KNa2Pb3 after structural relaxation.

Properties
Space group ... No. 63
E_tot ... -2.610 eV/atom
Formation enthalpy at 0 K ... -0.133 eV/atom
Crystal system ... orthorhombic

POSCAR file:
```
KNa2Pb3
1.0
5.2527 -5.7322 0.0000
5.2527 5.7322 0.0000
0.0000 0.0000 6.8762
K Na Pb
2 4 6
Direct
0.2335 0.7665 0.7500
0.7665 0.2335 0.2500
0.2333 0.2333 0.0000
0.2333 0.2333 0.5000
0.7667 0.7667 0.0000
0.7667 0.7667 0.5000
0.0791 0.5990 0.2500
0.4010 0.9209 0.2500
0.4654 0.5346 0.2500
0.5346 0.4654 0.7500
0.5990 0.0791 0.7500
0.9209 0.4010 0.7500
```